1.
The following is a DFT calculation (GGA+U) of a relaxed BaCoBrO2 crystal.

Values from the calculation:
- DFT total energy (eV per atom) = -5.4802
- energy above the lowest structure with this stoichiometry (meV/atom) = 0.0
- space group = Cmcm

a = 7.722 Å, b = 7.722 Å, c = 5.447 Å
α = 90.00°, β = 90.00°, γ = 135.20°
Fractional positions:
Ba1 0.121 0.879 0.750
Ba2 0.879 0.121 0.250
Co1 0.492 0.508 0.750
Co2 0.508 0.492 0.250
Br1 0.256 0.744 0.250
Br2 0.744 0.256 0.750
O1 0.288 0.288 0.000
O2 0.288 0.288 0.500
O3 0.712 0.712 0.000
O4 0.712 0.712 0.500


2.
The following is a DFT calculation (GGA+U) of a relaxed BaCoBrO2 crystal.

Values from the calculation:
- DFT total energy (eV per atom) = -3.1810
- energy above the lowest structure with this stoichiometry (meV/atom) = 2299.3
- space group = P4/mmm

a = 4.359 Å, b = 4.359 Å, c = 5.964 Å
α = 90.00°, β = 90.00°, γ = 90.00°
Fractional positions:
Ba1 0.000 0.000 0.000
Co1 0.500 0.500 0.000
Br1 0.000 0.000 0.500
O1 0.000 0.500 0.500
O2 0.500 0.000 0.500